MgRuRhO | PBE | optimized geometry

abc: 2.768 4.363 5.761
angles: 82.58 76.15 71.63
Fractional positions:
Mg  0.000  0.000  0.000
Ru  0.239  0.054  0.468
Rh  0.585  0.533  0.298
O  0.609  0.047  0.735

Values from the calculation:
Uncorrected formation energy in kJ/mol of atoms: -48.07
Crystal system: triclinic
Raw total energy in eV per atom: -6.29
N(E_F) in states/eV per atom: 0.52
Theoretical density in g/cm3: 6.34
Distance to the lowest polymorph of the same formula in meV/atom: 343.8